1.
Y4NiAuC2: optimized geometry, PBE.

Results
* space-group type: P-6m2 (187)
* density: 6.60 g/cm3
* final energy: -6.995 eV/atom

a b c (Å): 3.666 3.666 13.721
angles (deg): 90.00 90.00 120.00
Atoms (fractional coordinates):
1 Au 0.667 0.333 0.500
2 C 0.333 0.667 0.756
3 C 0.333 0.667 0.244
4 Y 0.000 0.000 0.663
5 Y 0.000 0.000 0.337
6 Y 0.667 0.333 0.141
7 Y 0.667 0.333 0.859
8 Ni 0.000 0.000 0.000


2.
TbLuRe: optimized geometry, PBE.

Results
* space-group type: F-43m (216)
* density: 11.50 g/cm3
* calculated formation energy: 1.08 eV/atom

a b c (Å): 4.735 4.735 4.735
angles (deg): 60.00 60.00 60.00
Atoms (fractional coordinates):
1 Re 0.250 0.250 0.250
2 Lu 0.000 0.000 0.000
3 Tb 0.750 0.750 0.750


3.
Li2AlZnCu2Ag2: optimized geometry, PBE.

Results
* space-group type: P-4m2 (115)
* density: 6.53 g/cm3
* final energy: -2.906 eV/atom

a b c (Å): 4.331 4.331 6.088
angles (deg): 90.00 90.00 90.00
Atoms (fractional coordinates):
1 Zn 0.500 0.500 0.500
2 Li 0.000 0.000 0.500
3 Li 0.500 0.500 0.000
4 Ag 0.500 0.000 0.750
5 Ag 0.000 0.500 0.250
6 Cu 0.000 0.500 0.755
7 Cu 0.500 0.000 0.245
8 Al 0.000 0.000 0.000